DFT (PBE) results for crystalline MgNbTe3 at its relaxed geometry.

Unit cell a=5.3324 b=5.3324 c=5.3324 alpha=90.00 beta=90.00 gamma=90.00
Space group Pm-3m (No. 221)
Symmetry-distinct sites (fractional):
Mg1 0.0000 0.0000 0.0000 x1
Nb1 0.5000 0.5000 0.5000 x1
Te1 0.0000 0.0000 0.5000 x3

## Properties
V in A^3/atom: 30.3
ρ in Mg/m³: 5.48
Energy relative to the elements, uncorrected in eV per atom: 0.699
M_tot in μB/cell: 2.46

=====

DFT (PBE) results for crystalline Mg3NbTe at its relaxed geometry.

Unit cell a=5.4329 b=5.4329 c=5.4329 alpha=90.00 beta=90.00 gamma=90.00
Space group Pm-3m (No. 221)
Symmetry-distinct sites (fractional):
Mg1 0.0000 0.0000 0.5000 x3
Nb1 0.0000 0.0000 0.0000 x1
Te1 0.5000 0.5000 0.5000 x1

## Properties
V in A^3/atom: 32.1
ρ in Mg/m³: 3.04
Energy relative to the elements, uncorrected in eV per atom: 1.013
M_tot in μB/cell: 3.13

=====

DFT (PBE) results for crystalline MgNb3Te at its relaxed geometry.

Unit cell a=4.8208 b=4.8208 c=4.8208 alpha=90.00 beta=90.00 gamma=90.00
Space group Pm-3m (No. 221)
Symmetry-distinct sites (fractional):
Mg1 0.0000 0.0000 0.0000 x1
Nb1 0.0000 0.0000 0.5000 x3
Te1 0.5000 0.5000 0.5000 x1

## Properties
V in A^3/atom: 22.4
ρ in Mg/m³: 6.38
Energy relative to the elements, uncorrected in eV per atom: 1.537
M_tot in μB/cell: 1.37

=====

DFT (PBE) results for crystalline MgNb2Te at its relaxed geometry.

Unit cell a=6.7595 b=6.7595 c=6.7595 alpha=90.00 beta=90.00 gamma=90.00
Space group Fm-3m (No. 225)
Symmetry-distinct sites (fractional):
Mg1 0.0000 0.0000 0.0000 x4
Nb1 0.2500 0.2500 0.2500 x8
Te1 0.0000 0.0000 0.5000 x4

## Properties
V in A^3/atom: 19.3
ρ in Mg/m³: 7.26
Energy relative to the elements, uncorrected in eV per atom: 0.344
M_tot in μB/cell: 0.00